A plane-wave DFT calculation with PBE was carried out for an optimized crystal structure of CaBeSi.

total magnetic moment: 0.00 μB per atom
DOS at the Fermi energy: 0.58 states/eV/f.u.
formation energy from raw total energies: -0.311 eV/atom
volume: 18.17 Å³/atom

```
data_CaBeSi
_cell_length_a 4.020
_cell_length_b 4.020
_cell_length_c 6.745
_cell_angle_alpha 90.00
_cell_angle_beta 90.00
_cell_angle_gamma 90.00
_space_group_name_H-M_alt 'P 4/n m m'
_space_group_IT_number 129
loop_
_space_group_symop_operation_xyz
'x,y,z'
'-x,-y,-z'
'-y+1/2,x,z'
'y+1/2,-x,-z'
'-x+1/2,-y+1/2,z'
'x+1/2,y+1/2,-z'
'y,-x+1/2,z'
'-y,x+1/2,-z'
'x+1/2,-y,-z'
'-x+1/2,y,z'
'-y,-x,-z'
'y,x,z'
'-x,y+1/2,-z'
'x,-y+1/2,z'
'y+1/2,x+1/2,-z'
'-y+1/2,-x+1/2,z'
loop_
_atom_site_label
_atom_site_fract_x
_atom_site_fract_y
_atom_site_fract_z
Ca1 0.250 0.250 0.182
Be1 0.250 0.750 0.500
Si1 0.250 0.250 0.693
```

=====

A plane-wave DFT calculation with PBE was carried out for an optimized crystal structure of Cs2TaAgSe4.

total magnetic moment: 0.00 μB per atom
DOS at the Fermi energy: 0.00 states/eV/f.u.
formation energy from raw total energies: -0.975 eV/atom
volume: 37.19 Å³/atom

```
data_Cs2TaAgSe4
_cell_length_a 6.141
_cell_length_b 14.966
_cell_length_c 25.897
_cell_angle_alpha 90.00
_cell_angle_beta 90.00
_cell_angle_gamma 90.00
_space_group_name_H-M_alt 'F d d d'
_space_group_IT_number 70
loop_
_space_group_symop_operation_xyz
'x,y,z'
'-x,-y,-z'
'-x+1/4,-y+1/4,z'
'x+1/4,y+1/4,-z'
'x,-y+1/4,-z+1/4'
'-x,y+1/4,z+1/4'
'-x+1/4,y,-z+1/4'
'x+1/4,-y,z+1/4'
'x,y+1/2,z+1/2'
'-x,-y+1/2,-z+1/2'
'-x+1/4,-y+3/4,z+1/2'
'x+1/4,y+3/4,-z+1/2'
'x,-y+3/4,-z+3/4'
'-x,y+3/4,z+3/4'
'-x+1/4,y+1/2,-z+3/4'
'x+1/4,-y+1/2,z+3/4'
'x+1/2,y,z+1/2'
'-x+1/2,-y,-z+1/2'
'-x+3/4,-y+1/4,z+1/2'
'x+3/4,y+1/4,-z+1/2'
'x+1/2,-y+1/4,-z+3/4'
'-x+1/2,y+1/4,z+3/4'
'-x+3/4,y,-z+3/4'
'x+3/4,-y,z+3/4'
'x+1/2,y+1/2,z'
'-x+1/2,-y+1/2,-z'
'-x+3/4,-y+3/4,z'
'x+3/4,y+3/4,-z'
'x+1/2,-y+3/4,-z+1/4'
'-x+1/2,y+3/4,z+1/4'
'-x+3/4,y+1/2,-z+1/4'
'x+3/4,-y+1/2,z+1/4'
loop_
_atom_site_label
_atom_site_fract_x
_atom_site_fract_y
_atom_site_fract_z
Cs1 0.125 0.125 0.303
Ta1 0.125 0.125 0.625
Ag1 0.125 0.125 0.125
Se1 0.094 0.278 0.820
```

=====

A plane-wave DFT calculation with PBE was carried out for an optimized crystal structure of CaUAgSe4.

total magnetic moment: 0.14 μB per atom
DOS at the Fermi energy: 4.77 states/eV/f.u.
formation energy from raw total energies: -1.092 eV/atom
volume: 29.25 Å³/atom

```
data_CaUAgSe4
_cell_length_a 8.264
_cell_length_b 8.417
_cell_length_c 11.775
_cell_angle_alpha 90.00
_cell_angle_beta 90.00
_cell_angle_gamma 90.00
_space_group_name_H-M_alt 'I m m a'
_space_group_IT_number 74
_space_group_name_Hall '-I 2b 2'
loop_
_atom_site_label
_atom_site_fract_x
_atom_site_fract_y
_atom_site_fract_z
Ca1 0.250 0.250 0.250
U1 0.000 0.000 0.000
Ag1 0.000 0.250 0.634
Se1 0.000 0.004 0.229
Se2 0.227 0.250 0.997
```

=====

A plane-wave DFT calculation with PBE was carried out for an optimized crystal structure of AsIr2.

total magnetic moment: 0.00 μB per atom
calculated formation energy: 8.36 kJ per mole of atoms
DOS at the Fermi energy: 2.02 states/eV/f.u.
volume: 17.92 Å³/atom

```
data_AsIr2
_cell_length_a 2.893
_cell_length_b 17.024
_cell_length_c 4.367
_cell_angle_alpha 90.00
_cell_angle_beta 90.00
_cell_angle_gamma 90.00
_space_group_name_H-M_alt 'C m c m'
_space_group_IT_number 63
_space_group_name_Hall '-C 2c 2'
loop_
_atom_site_label
_atom_site_fract_x
_atom_site_fract_y
_atom_site_fract_z
As1 0.000 0.171 0.250
Ir1 0.000 0.091 0.750
Ir2 0.000 0.451 0.750
```

=====

A plane-wave DFT calculation with PBE was carried out for an optimized crystal structure of CoGeC2.

total magnetic moment: 0.00 μB per atom
calculated formation energy: 79.61 kJ per mole of atoms
DOS at the Fermi energy: 2.36 states/eV/f.u.
volume: 11.17 Å³/atom

```
data_CoGeC2
_cell_length_a 4.512
_cell_length_b 4.512
_cell_length_c 8.780
_cell_angle_alpha 90.00
_cell_angle_beta 90.00
_cell_angle_gamma 90.00
_space_group_name_H-M_alt 'I -4 2 d'
_space_group_IT_number 122
_space_group_name_Hall 'I -4 2bw'
loop_
_atom_site_label
_atom_site_fract_x
_atom_site_fract_y
_atom_site_fract_z
Co1 0.000 0.000 0.000
Ge1 0.000 0.000 0.500
C1 0.227 0.250 0.125
```

=====

A plane-wave DFT calculation with PBE was carried out for an optimized crystal structure of KCrW4.

total magnetic moment: 0.35 μB per atom
calculated formation energy: 122.42 kJ per mole of atoms
DOS at the Fermi energy: 6.31 states/eV/f.u.
volume: 18.91 Å³/atom

```
data_KCrW4
_cell_length_a 7.685
_cell_length_b 7.685
_cell_length_c 7.685
_cell_angle_alpha 90.00
_cell_angle_beta 90.00
_cell_angle_gamma 90.00
_space_group_name_H-M_alt 'F -4 3 m'
_space_group_IT_number 216
_space_group_name_Hall 'F -4 2 3'
loop_
_atom_site_label
_atom_site_fract_x
_atom_site_fract_y
_atom_site_fract_z
K1 0.000 0.000 0.000
Cr1 0.250 0.250 0.250
W1 0.126 0.126 0.626
```

=====

A plane-wave DFT calculation with PBE was carried out for an optimized crystal structure of CuAgAs2.

total magnetic moment: 0.00 μB per atom
excess energy over the best structure of this formula in the dataset: 0.024 eV per atom
calculated formation energy: 17.58 kJ per mole of atoms
DOS at the Fermi energy: 1.73 states/eV/f.u.
volume: 17.94 Å³/atom

```
data_CuAgAs2
_cell_length_a 3.997
_cell_length_b 4.005
_cell_length_c 8.964
_cell_angle_alpha 90.00
_cell_angle_beta 90.00
_cell_angle_gamma 90.00
_space_group_name_H-M_alt 'C m m 2'
_space_group_IT_number 35
loop_
_space_group_symop_operation_xyz
'x,y,z'
'-x,-y,z'
'-x,y,z'
'x,-y,z'
'x+1/2,y+1/2,z'
'-x+1/2,-y+1/2,z'
'-x+1/2,y+1/2,z'
'x+1/2,-y+1/2,z'
loop_
_atom_site_label
_atom_site_fract_x
_atom_site_fract_y
_atom_site_fract_z
Cu1 0.000 0.000 0.000
Ag1 0.000 0.500 0.780
As1 0.000 0.000 0.536
As2 0.000 0.500 0.188
```

=====

A plane-wave DFT calculation with PBE was carried out for an optimized crystal structure of Ac3Ni2Sn7.

total magnetic moment: 0.00 μB per atom
calculated formation energy: -56.14 kJ per mole of atoms
DOS at the Fermi energy: 5.62 states/eV/f.u.
volume: 26.68 Å³/atom

```
data_Ac3Ni2Sn7
_cell_length_a 4.740
_cell_length_b 4.760
_cell_length_c 14.385
_cell_angle_alpha 90.00
_cell_angle_beta 99.47
_cell_angle_gamma 90.00
_space_group_name_H-M_alt 'P 1 2/m 1'
_space_group_IT_number 10
loop_
_space_group_symop_operation_xyz
'x,y,z'
'-x,-y,-z'
'-x,y,-z'
'x,-y,z'
loop_
_atom_site_label
_atom_site_fract_x
_atom_site_fract_y
_atom_site_fract_z
Ac1 0.000 0.000 0.000
Ac2 0.316 0.500 0.631
Ni1 0.127 0.000 0.256
Sn1 0.090 0.500 0.180
Sn2 0.218 0.000 0.437
Sn3 0.411 0.000 0.820
Sn4 0.500 0.500 0.000
```